Entry 1:
Ba2TcBr (PBE, relaxed); SG = Imm2, No. 44; formation energy from raw total energies = -0.037 eV per atom; excess energy over the best structure of this formula in the dataset = 33 kJ/mol of formula units; spin magnetization = 1.8 μB per cell
1.0
-1.9162 2.0926 8.9457
1.9162 -2.0926 8.9457
1.9162 2.0926 -8.9457
Ba Tc Br
2 1 1
Cartesian
0.0000 0.0000 0.0000
0.0000 2.0926 4.9309
0.0000 0.0000 7.2521
1.9162 0.0000 2.9591

---

Entry 2:
MnSiOs2 (PBE, relaxed); SG = R3m, No. 160; formation energy from raw total energies = -0.003 eV per atom; spin magnetization = 0.4 μB per cell
1.0
1.3552 0.7824 8.2306
-1.3552 0.7824 8.2306
0.0000 -1.5649 8.2306
Mn Si Os
1 1 2
Cartesian
0.0000 0.0000 0.0000
0.0000 0.0000 18.3414
0.0000 0.0000 6.2144
0.0000 0.0000 12.1462

---

Entry 3:
LaAgPt2 (PBE, relaxed); ΔH_f (0 K) = -0.596 eV/atom; SG = P4/mmm, No. 123; spin magnetization = 0.0 μB per cell
1.0
3.7042 0.0000 0.0000
0.0000 3.7042 0.0000
0.0000 0.0000 5.9788
La Ag Pt
1 1 2
Cartesian
0.0000 0.0000 0.0000
0.0000 0.0000 2.9894
1.8521 1.8521 1.5769
1.8521 1.8521 4.4019

---

Entry 4:
Fe2HgAs (PBE, relaxed); ΔH_f (0 K) = 0.251 eV/atom; SG = Cm, No. 8; excess energy over the best structure of this formula in the dataset = 33 kJ/mol of formula units; spin magnetization = 4.9 μB per cell
1.0
4.0556 -1.5460 0.0000
4.0556 1.5460 0.0000
-3.0745 0.0000 5.4154
Fe Hg As
2 1 1
Cartesian
0.0000 0.0000 0.0000
2.6825 0.0000 4.5049
2.2964 0.0000 1.5427
0.3647 0.0000 3.5951

---

Entry 5:
NdSm2Tm3 (PBE, relaxed); ΔH_f (0 K) = 0.217 eV/atom; SG = Cmc2_1, No. 36; excess energy over the best structure of this formula in the dataset = 85 kJ/mol of formula units; spin magnetization = 0.0 μB per cell
1.0
4.7326 -6.5706 0.0000
4.7326 6.5706 0.0000
0.0000 0.0000 6.3565
Nd Sm Tm
2 4 6
Cartesian
4.7326 4.2702 3.1783
4.7326 -4.2702 0.0000
3.0072 0.7407 4.6186
3.0072 -0.7407 1.4404
6.4581 0.7407 4.6186
6.4581 -0.7407 1.4404
4.7326 5.4861 6.1988
3.0142 2.5944 1.1106
6.4511 2.5944 1.1106
3.0142 -2.5944 4.2889
6.4511 -2.5944 4.2889
4.7326 -5.4861 3.0205

---

Entry 6:
RbBaIn2 (PBE, relaxed); ΔH_f (0 K) = -0.111 eV/atom; SG = Fm-3m, No. 225; excess energy over the best structure of this formula in the dataset = 0 kJ/mol of formula units; spin magnetization = 0.0 μB per cell
1.0
0.0000 4.3139 4.3139
4.3139 0.0000 4.3139
4.3139 4.3139 0.0000
Rb Ba In
1 1 2
Cartesian
0.0000 0.0000 0.0000
4.3139 4.3139 4.3139
2.1570 2.1570 2.1570
6.4709 6.4709 6.4709

---

Entry 7:
GdThAg2 (PBE, relaxed); ΔH_f (0 K) = -0.145 eV/atom; SG = Fm-3m, No. 225; excess energy over the best structure of this formula in the dataset = 6 kJ/mol of formula units; spin magnetization = 8.0 μB per cell
1.0
0.0000 3.7122 3.7122
3.7122 0.0000 3.7122
3.7122 3.7122 0.0000
Gd Th Ag
1 1 2
Cartesian
0.0000 0.0000 0.0000
3.7122 3.7122 3.7122
1.8561 1.8561 1.8561
5.5683 5.5683 5.5683

---

Entry 8:
La3Pr2Hg2 (PBE, relaxed); ΔH_f (0 K) = -0.211 eV/atom; SG = Cmmm, No. 65; excess energy over the best structure of this formula in the dataset = 22 kJ/mol of formula units; spin magnetization = 0.9 μB per cell
1.0
1.9182 -15.9388 0.0000
1.9182 15.9388 0.0000
0.0000 0.0000 3.7865
La Pr Hg
3 2 2
Cartesian
0.0000 0.0000 0.0000
1.9182 2.5359 1.8932
1.9182 -2.5359 1.8932
1.9182 6.4402 1.8932
1.9182 -6.4402 1.8932
1.9182 11.4135 0.0000
1.9182 -11.4135 0.0000